# La4HN2 GGA-PBE relaxed
# Total DFT energy (no corrections) = -6.162 eV/atom
# DOS(E_F) = 0.74 states/eV per atom
# Size of the total moment = 0.00 μB per cell
# Space-group type = No. 139
data_La4HN2
_space_group_name_H-M_alt 'P 1'
_space_group_IT_number 1
_cell_length_a 7.937
_cell_length_b 7.937
_cell_length_c 7.937
_cell_angle_alpha 144.54
_cell_angle_beta 144.54
_cell_angle_gamma 51.02
loop_
_space_group_symop_operation_xyz
'x,y,z'
loop_
_atom_site_label
_atom_site_type_symbol
_atom_site_fract_x
_atom_site_fract_y
_atom_site_fract_z
La1 La 0.000 0.500 0.500
La2 La 0.235 0.235 0.000
La3 La 0.500 0.000 0.500
La4 La 0.765 0.765 0.000
H1 H 0.500 0.500 0.000
N1 N 0.092 0.092 0.000
N2 N 0.908 0.908 0.000